Record 1
Crystalline Ta3Bi7O18 at its relaxed geometry. Source: Alexandria via LeMat-Bulk, functional PBEsol.

M_tot ... 0.0000 μB per atom
Formation energy without anion corrections ... -1.908 eV/atom

a b c (Å): 6.598 7.602 16.429
angles (deg): 103.27 93.14 90.05
Positions (direct):
Ta 0.000 0.000 0.000
Ta 0.001 0.498 0.999
Ta 0.365 0.195 0.393
Ta 0.369 0.694 0.393
Ta 0.602 0.813 0.621
Ta 0.607 0.308 0.617
Bi 0.078 0.054 0.616
Bi 0.147 0.561 0.605
Bi 0.176 0.358 0.211
Bi 0.182 0.835 0.179
Bi 0.293 0.894 0.818
Bi 0.299 0.390 0.794
Bi 0.459 0.256 0.006
Bi 0.538 0.745 0.998
Bi 0.655 0.106 0.217
Bi 0.664 0.606 0.216
Bi 0.788 0.161 0.827
Bi 0.801 0.643 0.790
Bi 0.831 0.454 0.406
Bi 0.901 0.947 0.395
O 0.042 0.517 0.124
O 0.060 0.239 0.973
O 0.061 0.128 0.747
O 0.081 0.101 0.117
O 0.083 0.250 0.405
O 0.087 0.653 0.408
O 0.135 0.616 0.736
O 0.292 0.939 0.969
O 0.296 0.541 0.994
O 0.302 0.860 0.643
O 0.303 0.952 0.408
O 0.304 0.283 0.648
O 0.337 0.668 0.265
O 0.339 0.092 0.266
O 0.416 0.430 0.363
O 0.449 0.182 0.866
O 0.482 0.284 0.504
O 0.490 0.333 0.163
O 0.493 0.717 0.502
O 0.496 0.670 0.851
O 0.514 0.825 0.142
O 0.547 0.573 0.644
O 0.643 0.330 0.742
O 0.646 0.913 0.742
O 0.661 0.049 0.597
O 0.667 0.140 0.362
O 0.669 0.719 0.360
O 0.709 0.457 0.003
O 0.716 0.054 0.003
O 0.835 0.389 0.274
O 0.882 0.357 0.601
O 0.885 0.753 0.603
O 0.916 0.884 0.265
O 0.954 0.765 0.027
O 0.958 0.895 0.872
O 0.963 0.486 0.876

=====

Record 2
Crystalline TaBiO4 at its relaxed geometry. Source: Alexandria via LeMat-Bulk, functional PBEsol.

M_tot ... 0.0000 μB per atom
Formation energy without anion corrections ... -2.256 eV/atom

a b c (Å): 5.547 7.678 7.729
angles (deg): 77.94 89.91 86.71
Positions (direct):
Ta 0.222 0.157 0.195
Ta 0.245 0.174 0.694
Ta 0.755 0.826 0.306
Ta 0.778 0.843 0.805
Bi 0.234 0.621 0.115
Bi 0.292 0.670 0.610
Bi 0.708 0.330 0.390
Bi 0.766 0.379 0.885
O 0.011 0.608 0.823
O 0.040 0.669 0.368
O 0.083 0.947 0.720
O 0.149 0.179 0.946
O 0.308 0.170 0.448
O 0.436 0.952 0.213
O 0.445 0.391 0.673
O 0.458 0.346 0.136
O 0.542 0.654 0.864
O 0.555 0.609 0.327
O 0.564 0.048 0.787
O 0.692 0.830 0.552
O 0.851 0.821 0.054
O 0.917 0.053 0.280
O 0.960 0.331 0.632
O 0.989 0.392 0.177

=====

Record 3
Crystalline YTaBi2O7 at its relaxed geometry. Source: Alexandria via LeMat-Bulk, functional PBEsol.

M_tot ... 0.0000 μB per atom
Formation energy without anion corrections ... -2.311 eV/atom

a b c (Å): 7.610 7.610 7.610
angles (deg): 120.49 119.52 89.99
Positions (direct):
Y 0.500 0.000 0.000
Y 0.500 0.500 0.500
Ta 0.000 0.000 0.000
Ta 0.500 0.000 0.500
Bi 0.000 0.000 0.500
Bi 0.000 0.500 0.000
Bi 0.000 0.500 0.500
Bi 0.500 0.500 0.000
O 0.119 0.369 0.750
O 0.139 0.320 0.206
O 0.139 0.933 0.819
O 0.229 0.979 0.250
O 0.386 0.067 0.706
O 0.386 0.680 0.319
O 0.391 0.641 0.750
O 0.609 0.359 0.250
O 0.614 0.320 0.681
O 0.614 0.933 0.294
O 0.771 0.021 0.750
O 0.861 0.067 0.181
O 0.861 0.680 0.794
O 0.881 0.631 0.250

=====

Record 4
Crystalline TbBi5O9 at its relaxed geometry. Source: Alexandria via LeMat-Bulk, functional PBEsol.

M_tot ... 0.0000 μB per atom
Formation energy without anion corrections ... -1.575 eV/atom

a b c (Å): 3.787 6.850 9.326
angles (deg): 95.03 100.33 92.37
Positions (direct):
Tb 0.000 0.000 0.000
Bi 0.223 0.418 0.365
Bi 0.366 0.120 0.669
Bi 0.528 0.473 0.023
Bi 0.741 0.889 0.360
Bi 0.872 0.626 0.690
O 0.079 0.313 0.128
O 0.329 0.764 0.475
O 0.389 0.453 0.720
O 0.470 0.159 0.912
O 0.541 0.916 0.132
O 0.668 0.560 0.279
O 0.671 0.210 0.471
O 0.859 0.954 0.742
O 0.993 0.660 0.925

=====

Record 5
Crystalline TbBi3O6 at its relaxed geometry. Source: Alexandria via LeMat-Bulk, functional PBEsol.

M_tot ... 0.0000 μB per atom
Formation energy without anion corrections ... -1.788 eV/atom

a b c (Å): 9.484 9.484 9.484
angles (deg): 109.47 109.47 109.47
Positions (direct):
Tb 0.000 0.000 0.000
Tb 0.000 0.500 0.500
Tb 0.500 0.000 0.500
Tb 0.500 0.500 0.000
Bi 0.031 0.781 0.250
Bi 0.219 0.750 0.969
Bi 0.250 0.031 0.781
Bi 0.250 0.531 0.281
Bi 0.281 0.250 0.531
Bi 0.469 0.719 0.750
Bi 0.531 0.281 0.250
Bi 0.719 0.750 0.469
Bi 0.750 0.469 0.719
Bi 0.750 0.969 0.219
Bi 0.781 0.250 0.031
Bi 0.969 0.219 0.750
O 0.014 0.466 0.733
O 0.034 0.048 0.266
O 0.048 0.266 0.034
O 0.219 0.452 0.486
O 0.233 0.766 0.719
O 0.234 0.281 0.767
O 0.266 0.034 0.048
O 0.267 0.986 0.534
O 0.281 0.767 0.234
O 0.452 0.486 0.219
O 0.466 0.733 0.014
O 0.486 0.219 0.452
O 0.514 0.781 0.548
O 0.534 0.267 0.986
O 0.548 0.514 0.781
O 0.719 0.233 0.766
O 0.733 0.014 0.466
O 0.734 0.966 0.952
O 0.766 0.719 0.233
O 0.767 0.234 0.281
O 0.781 0.548 0.514
O 0.952 0.734 0.966
O 0.966 0.952 0.734
O 0.986 0.534 0.267

=====

Record 6
Crystalline Tb2Bi2O7 at its relaxed geometry. Source: Alexandria via LeMat-Bulk, functional PBEsol.

M_tot ... 0.0001 μB per atom
Formation energy without anion corrections ... -2.133 eV/atom

a b c (Å): 7.644 7.644 7.644
angles (deg): 60.00 60.00 60.00
Positions (direct):
Tb 0.000 0.000 0.000
Tb 0.000 0.000 0.500
Tb 0.000 0.500 0.000
Tb 0.500 0.000 0.000
Bi 0.000 0.500 0.500
Bi 0.500 0.000 0.500
Bi 0.500 0.500 0.000
Bi 0.500 0.500 0.500
O 0.125 0.125 0.125
O 0.147 0.147 0.603
O 0.147 0.603 0.147
O 0.147 0.603 0.603
O 0.397 0.397 0.853
O 0.397 0.853 0.397
O 0.397 0.853 0.853
O 0.603 0.147 0.147
O 0.603 0.147 0.603
O 0.603 0.603 0.147
O 0.853 0.397 0.397
O 0.853 0.397 0.853
O 0.853 0.853 0.397
O 0.875 0.875 0.875

=====

Record 7
Crystalline Tc2Bi2O at its relaxed geometry. Source: Alexandria via LeMat-Bulk, functional PBEsol.

M_tot ... 0.1124 μB per atom
Formation energy without anion corrections ... 0.263 eV/atom

a b c (Å): 5.026 5.026 5.026
angles (deg): 112.45 112.45 103.67
Positions (direct):
Tc 0.179 0.179 0.000
Tc 0.821 0.821 0.000
Bi 0.250 0.750 0.500
Bi 0.750 0.250 0.500
O 0.500 0.500 0.000

=====

Record 8
Crystalline BiTeO2 at its relaxed geometry. Source: Alexandria via LeMat-Bulk, functional PBEsol.

M_tot ... 0.0000 μB per atom
Excess energy over the best structure of this formula in the dataset ... 0.000 eV/atom
Formation energy without anion corrections ... -0.740 eV/atom

a b c (Å): 7.017 7.017 7.017
angles (deg): 30.15 30.15 30.15
Positions (direct):
Bi 0.000 0.000 0.000
Te 0.500 0.500 0.500
O 0.390 0.390 0.390
O 0.610 0.610 0.610

=====

Record 9
Crystalline BiTeO4 at its relaxed geometry. Source: Alexandria via LeMat-Bulk, functional PBEsol.

M_tot ... 0.0000 μB per atom
Excess energy over the best structure of this formula in the dataset ... 0.003 eV/atom
Formation energy without anion corrections ... -1.189 eV/atom

a b c (Å): 6.966 6.966 10.271
angles (deg): 112.97 112.97 47.35
Positions (direct):
Bi 0.000 0.000 0.000
Bi 0.265 0.280 0.901
Bi 0.720 0.735 0.099
Bi 0.912 0.088 0.500
Te 0.137 0.405 0.372
Te 0.445 0.551 0.749
Te 0.449 0.555 0.251
Te 0.595 0.863 0.628
O 0.039 0.334 0.159
O 0.102 0.691 0.126
O 0.154 0.696 0.589
O 0.229 0.569 0.834
O 0.233 0.133 0.655
O 0.304 0.846 0.411
O 0.309 0.898 0.874
O 0.431 0.771 0.166
O 0.443 0.346 0.336
O 0.594 0.197 0.633
O 0.597 0.246 0.097
O 0.654 0.557 0.664
O 0.666 0.961 0.841
O 0.754 0.403 0.903
O 0.803 0.406 0.367
O 0.867 0.767 0.345

=====

Record 10
Crystalline BiTeO4 at its relaxed geometry. Source: Alexandria via LeMat-Bulk, functional PBEsol.

M_tot ... 0.0000 μB per atom
Excess energy over the best structure of this formula in the dataset ... 0.000 eV/atom
Formation energy without anion corrections ... -1.192 eV/atom

a b c (Å): 6.978 6.978 10.281
angles (deg): 112.97 112.97 47.23
Positions (direct):
Bi 0.044 0.956 0.500
Bi 0.680 0.773 0.089
Bi 0.773 0.680 0.589
Bi 0.956 0.044 0.000
Te 0.189 0.352 0.864
Te 0.352 0.189 0.364
Te 0.492 0.507 0.741
Te 0.507 0.492 0.241
O 0.086 0.281 0.654
O 0.144 0.651 0.623
O 0.201 0.643 0.088
O 0.281 0.086 0.154
O 0.299 0.489 0.329
O 0.349 0.800 0.901
O 0.364 0.843 0.364
O 0.480 0.723 0.659
O 0.489 0.299 0.829
O 0.643 0.201 0.588
O 0.651 0.144 0.123
O 0.714 0.914 0.341
O 0.723 0.480 0.159
O 0.800 0.349 0.401
O 0.843 0.364 0.864
O 0.914 0.714 0.841

=====

Record 11
Crystalline BiTeO2 at its relaxed geometry. Source: Alexandria via LeMat-Bulk, functional PBEsol.

M_tot ... 0.0003 μB per atom
Excess energy over the best structure of this formula in the dataset ... 0.691 eV/atom
Formation energy without anion corrections ... -0.050 eV/atom

a b c (Å): 4.433 4.433 4.433
angles (deg): 60.00 60.00 60.00
Positions (direct):
Bi 0.000 0.000 0.000
Te 0.500 0.500 0.500
O 0.250 0.250 0.250
O 0.750 0.750 0.750

=====

Record 12
Crystalline Ti8BiO7 at its relaxed geometry. Source: Alexandria via LeMat-Bulk, functional PBEsol.

M_tot ... 0.0142 μB per atom
Formation energy without anion corrections ... -2.313 eV/atom

a b c (Å): 9.219 9.219 2.996
angles (deg): 90.00 90.00 130.12
Positions (direct):
Ti 0.147 0.488 0.500
Ti 0.175 0.175 0.000
Ti 0.205 0.795 0.000
Ti 0.488 0.147 0.500
Ti 0.512 0.853 0.500
Ti 0.795 0.205 0.000
Ti 0.825 0.825 0.000
Ti 0.853 0.512 0.500
Bi 0.500 0.500 0.500
O 0.000 0.000 0.500
O 0.054 0.295 0.000
O 0.295 0.054 0.000
O 0.324 0.676 0.000
O 0.676 0.324 0.000
O 0.705 0.946 0.000
O 0.946 0.705 0.000